No. 1
The following is a PBE calculation of a relaxed CePd2Au3 crystal, from Alexandria.

Output
ΔH_f (0 K) ... -0.433 eV per atom
DFT total energy ... -4.791 eV/atom
Fermi-level density of states ... 1.191 states/eV per atom
Space-group type ... C2/m (12)

Structure (POSCAR):
```
CePd2Au3
1.0
7.765 -2.266 0.000
7.765 2.266 0.000
-0.159 0.000 6.698
Ce Pd Au
2 4 6
Direct
0.137 0.137 0.215 Ce
0.863 0.863 0.785 Ce
0.235 0.235 0.848 Pd
0.465 0.465 0.689 Pd
0.535 0.535 0.311 Pd
0.765 0.765 0.152 Pd
0.073 0.073 0.644 Au
0.309 0.309 0.455 Au
0.389 0.389 0.077 Au
0.611 0.611 0.923 Au
0.691 0.691 0.545 Au
0.927 0.927 0.356 Au
```


No. 2
The following is a PBE calculation of a relaxed PrSmEr14 crystal, from Alexandria.

Output
ΔH_f (0 K) ... 0.010 eV per atom
DFT total energy ... -4.576 eV/atom
Fermi-level density of states ... 1.306 states/eV per atom
Space-group type ... Amm2 (38)

Structure (POSCAR):
```
PrSmEr14
1.0
11.398 0.000 0.000
0.000 3.547 6.131
0.000 -3.547 6.131
Pr Sm Er
1 1 14
Direct
0.000 0.000 0.000 Pr
0.000 0.500 0.500 Sm
0.000 0.000 0.500 Er
0.000 0.500 0.000 Er
0.252 0.667 0.667 Er
0.253 0.167 0.167 Er
0.254 0.167 0.666 Er
0.254 0.666 0.167 Er
0.500 0.333 0.333 Er
0.500 0.334 0.834 Er
0.500 0.833 0.833 Er
0.500 0.834 0.334 Er
0.746 0.167 0.666 Er
0.746 0.666 0.167 Er
0.747 0.167 0.167 Er
0.748 0.667 0.667 Er
```


No. 3
The following is a PBE calculation of a relaxed Ba4CuMo crystal, from Alexandria.

Output
ΔH_f (0 K) ... 1.258 eV per atom
DFT total energy ... -2.511 eV/atom
Fermi-level density of states ... 1.476 states/eV per atom
Space-group type ... F-43m (216)

Structure (POSCAR):
```
Ba4CuMo
1.0
0.000 5.063 5.063
5.063 0.000 5.063
5.063 5.063 0.000
Ba Cu Mo
4 1 1
Direct
0.125 0.125 0.125 Ba
0.125 0.125 0.625 Ba
0.125 0.625 0.125 Ba
0.625 0.125 0.125 Ba
0.750 0.750 0.750 Cu
0.500 0.500 0.500 Mo
```


No. 4
The following is a PBE calculation of a relaxed PrTh2Bi3 crystal, from Alexandria.

Output
Excess energy over the best structure of this formula in the dataset ... 0.080 eV per atom
ΔH_f (0 K) ... -0.624 eV per atom
DFT total energy ... -5.835 eV/atom
Fermi-level density of states ... 0.473 states/eV per atom
Space-group type ... C2/m (12)

Structure (POSCAR):
```
PrTh2Bi3
1.0
8.773 -2.301 0.000
8.773 2.301 0.000
-3.347 0.000 10.647
Pr Th Bi
2 4 6
Direct
0.000 0.000 0.000 Pr
0.500 0.500 0.500 Pr
0.166 0.166 0.830 Th
0.334 0.334 0.670 Th
0.666 0.666 0.330 Th
0.834 0.834 0.170 Th
0.029 0.029 0.305 Bi
0.305 0.305 0.362 Bi
0.359 0.359 0.974 Bi
0.641 0.641 0.026 Bi
0.695 0.695 0.638 Bi
0.971 0.971 0.695 Bi
```


No. 5
The following is a PBE calculation of a relaxed NaEuS2 crystal, from Alexandria.

Output
DFT total energy ... -6.270 eV/atom
ΔE_f (raw) ... -1.31 eV per atom
Fermi-level density of states ... 0.768 states/eV per atom
Space-group type ... P4/mmm (123)

Structure (POSCAR):
```
NaEuS2
1.0
3.549 0.000 0.000
0.000 3.549 0.000
0.000 0.000 7.029
Na Eu S
1 1 2
Direct
0.000 0.000 0.000 Na
0.000 0.000 0.500 Eu
0.500 0.500 0.269 S
0.500 0.500 0.731 S
```


No. 6
The following is a PBE calculation of a relaxed BaFeRe2Au crystal, from Alexandria.

Output
ΔH_f (0 K) ... 2.176 eV per atom
DFT total energy ... -5.536 eV/atom
Fermi-level density of states ... 3.183 states/eV per atom
Space-group type ... P4/mmm (123)

Structure (POSCAR):
```
BaFeRe2Au
1.0
4.990 0.000 0.000
0.000 4.990 0.000
0.000 0.000 4.879
Ba Fe Re Au
1 1 2 1
Direct
0.000 0.000 0.000 Ba
0.500 0.500 0.000 Fe
0.000 0.500 0.500 Re
0.500 0.000 0.500 Re
0.500 0.500 0.500 Au
```


No. 7
The following is a PBE calculation of a relaxed CrHIr crystal, from Alexandria.

Output
Excess energy over the best structure of this formula in the dataset ... 0.000 eV per atom
DFT total energy ... -7.343 eV/atom
Fermi-level density of states ... 0.522 states/eV per atom
Space-group type ... P4/mmm (123)

Structure (POSCAR):
```
CrHIr
1.0
2.731 0.000 0.000
0.000 2.731 0.000
0.000 0.000 3.820
Cr H Ir
1 1 1
Direct
0.000 0.000 0.000 Cr
0.500 0.500 0.000 H
0.500 0.500 0.500 Ir
```


No. 8
The following is a PBE calculation of a relaxed NaInSn crystal, from Alexandria.

Output
ΔH_f (0 K) ... -0.151 eV per atom
DFT total energy ... -2.837 eV/atom
Fermi-level density of states ... 0.117 states/eV per atom
Space-group type ... P4/nmm (129)

Structure (POSCAR):
```
NaInSn
1.0
4.751 0.000 0.000
0.000 4.751 0.000
0.000 0.000 7.877
Na In Sn
2 2 2
Direct
0.250 0.250 0.155 Na
0.750 0.750 0.845 Na
0.250 0.750 0.500 In
0.750 0.250 0.500 In
0.250 0.250 0.744 Sn
0.750 0.750 0.256 Sn
```


No. 9
The following is a PBE calculation of a relaxed Er6BSe5 crystal, from Alexandria.

Output
DFT total energy ... -5.865 eV/atom
ΔE_f (raw) ... -1.58 eV per atom
Fermi-level density of states ... 0.446 states/eV per atom
Space-group type ... C2/m (12)

Structure (POSCAR):
```
Er6BSe5
1.0
3.485 -6.004 0.000
3.485 6.004 0.000
-2.313 0.000 6.540
Er B Se
6 1 5
Direct
0.075 0.376 0.727 Er
0.222 0.222 0.269 Er
0.376 0.075 0.727 Er
0.624 0.925 0.273 Er
0.778 0.778 0.731 Er
0.925 0.624 0.273 Er
0.000 0.000 0.500 B
0.175 0.825 0.000 Se
0.335 0.665 0.500 Se
0.500 0.500 0.000 Se
0.665 0.335 0.500 Se
0.825 0.175 0.000 Se
```


No. 10
The following is a PBE calculation of a relaxed CaMnHRu2 crystal, from Alexandria.

Output
DFT total energy ... -6.033 eV/atom
Fermi-level density of states ... 1.441 states/eV per atom
Space-group type ... P4/mmm (123)

Structure (POSCAR):
```
CaMnHRu2
1.0
3.989 0.000 0.000
0.000 3.989 0.000
0.000 0.000 4.143
Ca Mn H Ru
1 1 1 2
Direct
0.000 0.000 0.000 Ca
0.500 0.500 0.000 Mn
0.000 0.000 0.500 H
0.000 0.500 0.500 Ru
0.500 0.000 0.500 Ru
```


No. 11
The following is a PBE calculation of a relaxed Ce8TlTc2 crystal, from Alexandria.

Output
Excess energy over the best structure of this formula in the dataset ... 0.000 eV per atom
ΔH_f (0 K) ... -0.079 eV per atom
DFT total energy ... -6.495 eV/atom
Fermi-level density of states ... 2.296 states/eV per atom
Space-group type ... Imm2 (44)

Structure (POSCAR):
```
Ce8TlTc2
1.0
-2.665 8.214 3.228
2.665 -8.214 3.228
2.665 8.214 -3.228
Ce Tl Tc
8 1 2
Direct
0.000 0.000 0.000 Ce
0.299 0.611 0.688 Ce
0.417 0.511 0.906 Ce
0.465 0.194 0.272 Ce
0.605 0.511 0.094 Ce
0.809 0.309 0.500 Ce
0.922 0.194 0.728 Ce
0.923 0.611 0.312 Ce
0.313 0.813 0.500 Tl
0.008 0.862 0.146 Tc
0.716 0.862 0.854 Tc
```


No. 12
The following is a PBE calculation of a relaxed ScSb2 crystal, from Alexandria.

Output
DFT total energy ... -4.992 eV/atom
ΔE_f (raw) ... -0.13 eV per atom
Fermi-level density of states ... 0.909 states/eV per atom
Space-group type ... P-3m1 (164)

Structure (POSCAR):
```
ScSb2
1.0
4.618 0.000 0.000
-2.309 3.999 0.000
0.000 0.000 4.701
Sc Sb
1 2
Direct
0.000 0.000 0.000 Sc
0.333 0.667 0.267 Sb
0.667 0.333 0.733 Sb
```